(1)
## HOs (GGA-PBE)

Data for crystalline HOs at its relaxed geometry.

a = 2.923 Å, b = 2.923 Å, c = 4.801 Å
α = 90.00°, β = 90.00°, γ = 120.00°
Element x y z (fractional)
H (0.333, 0.667, 0.000)
H (0.667, 0.333, 0.500)
Os (0.333, 0.667, 0.373)
Os (0.667, 0.333, 0.873)

Results
As for the density of states at the Fermi level: 0.696 states/eV/atom. For the total energy, the calculation gives -26.63 eV/cell. Its mass density is 17882 kg/m3. The volume is 8.88 Å³ per atom. Its size of the total moment is 0.00 Bohr magnetons per cell.

---

(2)
## HOs (GGA-PBE)

Data for crystalline HOs at its relaxed geometry.

a = 2.770 Å, b = 2.770 Å, c = 2.491 Å
α = 90.00°, β = 90.00°, γ = 90.00°
Element x y z (fractional)
H (0.000, 0.000, 0.000)
Os (0.500, 0.500, 0.000)

Results
As for the density of states at the Fermi level: 0.685 states/eV/atom. For the total energy, the calculation gives -12.99 eV/cell. Its mass density is 16623 kg/m3. The volume is 9.55 Å³ per atom. Its size of the total moment is 0.00 Bohr magnetons per cell.